No. 1
{"formula": "InAg2I4", "functional": "PBE-GGA", "state": "optimized geometry", "formation_energy_uncorrected_ev_per_atom": -0.2246, "relative_energy_ev_per_fu": 0.479, "lattice": [[-5.573, 1.910, 4.126], [-1.745, -3.239, -6.180], [3.861, -4.732, 3.798]], "species": ["I", "Ag", "I", "I", "In", "I", "Ag"], "fractional_positions": [[0.821, 0.328, 0.149], [0.250, 0.750, 0.500], [0.672, 0.821, 0.494], [0.328, 0.179, 0.506], [0.500, 0.500, 0.000], [0.179, 0.672, 0.851], [0.750, 0.250, 0.500]]}


No. 2
{"formula": "AcLa8Y5", "functional": "PBE-GGA", "state": "optimized geometry", "delta_e_f_ev_per_fu": 2.325, "lattice": [[8.528, -0.181, -2.009], [-4.801, 6.702, -3.207], [0.872, 0.218, 8.780]], "species": ["La", "La", "Y", "Ac", "La", "Y", "La", "La", "Y", "Y", "Y", "La", "La", "La"], "fractional_positions": [[0.647, 0.208, 0.269], [0.118, 0.202, 0.734], [0.890, 0.974, 0.263], [0.026, 0.488, 0.642], [0.078, 0.759, 0.428], [0.611, 0.013, 0.595], [0.382, 0.274, 0.480], [0.484, 0.549, 0.239], [0.958, 0.257, 0.061], [0.300, 0.029, 0.905], [0.819, 0.758, 0.704], [0.697, 0.461, 0.943], [0.224, 0.753, 0.117], [0.517, 0.774, 0.870]]}


No. 3
{"formula": "MgIn4Tc", "functional": "PBE-GGA", "state": "optimized geometry", "delta_e_f_ev_per_fu": 3.384, "lattice": [[0.000, 4.061, 4.061], [4.061, 0.000, 4.061], [4.061, 4.061, 0.000]], "species": ["In", "In", "Tc", "In", "Mg", "In"], "fractional_positions": [[0.375, 0.375, 0.876], [0.375, 0.876, 0.375], [0.000, 0.000, 0.000], [0.876, 0.375, 0.375], [0.750, 0.750, 0.750], [0.375, 0.375, 0.375]]}


No. 4
{"formula": "Ba2AlTc", "functional": "PBE-GGA", "state": "optimized geometry", "delta_e_f_ev_per_fu": 1.318, "lattice": [[4.548, 0.000, 0.000], [0.000, 5.029, -0.001], [0.000, 2.516, 5.996]], "species": ["Ba", "Al", "Tc", "Ba"], "fractional_positions": [[0.000, 0.985, 0.906], [0.500, 0.581, 0.712], [0.000, 0.664, 0.547], [0.500, 0.270, 0.335]]}


No. 5
{"formula": "LiSbPb2S4", "functional": "PBE-GGA", "state": "optimized geometry", "formation_energy_uncorrected_ev_per_atom": -0.5643, "lattice": [[-6.059, -3.543, 4.036], [4.689, -0.847, 6.546], [-1.046, 7.382, -3.452]], "species": ["S", "Li", "Pb", "S", "Pb", "Sb", "Pb", "S", "S", "S", "S", "S", "Pb", "Sb", "S", "Li"], "fractional_positions": [[0.756, 0.274, 0.515], [0.000, 0.500, 0.000], [0.500, 0.000, 0.500], [0.226, 0.744, 0.985], [0.000, 0.000, 0.500], [0.000, 0.000, 0.000], [0.500, 0.500, 0.000], [0.238, 0.262, 0.016], [0.774, 0.256, 0.015], [0.244, 0.726, 0.485], [0.762, 0.738, 0.516], [0.238, 0.262, 0.484], [0.500, 0.000, 0.000], [0.500, 0.500, 0.500], [0.762, 0.738, 0.984], [0.000, 0.500, 0.500]]}


No. 6
{"formula": "Pa3P2Se3", "functional": "PBE-GGA", "state": "optimized geometry", "formation_energy_uncorrected_ev_per_atom": -1.2670, "lattice": [[5.657, 0.000, 0.000], [0.000, 7.337, -4.236], [0.000, 0.000, 8.472]], "species": ["P", "Pa", "Pa", "P", "P", "Se", "Pa", "Se", "Se", "Se", "Se", "Pa", "Pa", "Se", "Pa", "P"], "fractional_positions": [[0.500, 0.333, 0.667], [0.250, 0.612, 0.612], [0.250, 0.000, 0.388], [0.500, 0.667, 0.333], [0.000, 0.667, 0.333], [0.750, 0.256, 0.000], [0.250, 0.388, 0.000], [0.250, 0.000, 0.744], [0.750, 0.000, 0.256], [0.250, 0.256, 0.256], [0.750, 0.744, 0.744], [0.750, 0.388, 0.388], [0.750, 0.000, 0.612], [0.250, 0.744, 0.000], [0.750, 0.612, 0.000], [0.000, 0.333, 0.667]]}


Total energy, record by record: -16.2 -73.5 -19.5 -16.6 -69.0 -119.8 eV for the cell shown